{"formula": "NpSbH2O6", "functional": "PBE", "state": "relaxed", "cell": [[-3.028, 2.475, 3.390], [-0.921, -4.907, 2.760], [6.154, 1.816, 5.284]], "species": ["H", "H", "H", "H", "O", "O", "O", "O", "O", "O", "O", "O", "O", "O", "O", "O", "Np", "Np", "Sb", "Sb"], "frac_coords": [[0.338, 0.570, 0.255], [0.162, 0.070, 0.245], [0.662, 0.430, 0.745], [0.838, 0.930, 0.755], [0.200, 0.799, 0.945], [0.825, 0.209, 0.438], [0.675, 0.709, 0.062], [0.700, 0.701, 0.445], [0.654, 0.977, 0.762], [0.325, 0.291, 0.938], [0.846, 0.477, 0.738], [0.300, 0.299, 0.555], [0.175, 0.791, 0.562], [0.346, 0.023, 0.238], [0.800, 0.201, 0.055], [0.154, 0.523, 0.262], [0.000, 0.500, 0.000], [0.500, 0.000, 0.500], [0.000, 0.500, 0.500], [0.500, 0.000, 0.000]], "e_tot_ev_per_atom": -7.10, "space_group": "P2_1/c", "mass_density_g_cm3": 6.21, "m_tot_mub_per_cell": 4.0}

{"formula": "TcTe2N", "functional": "PBE", "state": "relaxed", "cell": [[5.682, 0.000, 0.000], [0.000, 5.682, 0.000], [2.841, 2.841, 5.497]], "species": ["N", "N", "Te", "Te", "Te", "Te", "Tc", "Tc"], "frac_coords": [[0.250, 0.750, 0.500], [0.500, 0.500, 0.000], [0.158, 0.625, 0.250], [0.375, 0.408, 0.750], [0.875, 0.842, 0.750], [0.592, 0.125, 0.250], [0.000, 0.000, 0.000], [0.750, 0.250, 0.500]], "e_tot_ev_per_atom": -5.34, "de_polymorph_mev_per_atom": 127, "space_group": "I-42d", "formation_energy_uncorrected_ev_per_atom": 0.91, "mass_density_g_cm3": 6.87, "m_tot_mub_per_cell": 0.0}

{"formula": "La2ScTa2", "functional": "PBE", "state": "relaxed", "cell": [[-2.622, 2.720, -0.576], [-2.626, -2.683, -0.714], [-5.039, -0.230, 9.173]], "species": ["Ta", "Ta", "La", "La", "Sc"], "frac_coords": [[0.750, 0.250, 0.500], [0.250, 0.750, 0.500], [0.380, 0.380, 0.239], [0.620, 0.620, 0.761], [0.000, 0.000, 0.000]], "e_tot_ev_per_atom": -7.34, "de_polymorph_mev_per_atom": 0, "space_group": "I4/mmm", "mass_density_g_cm3": 7.70, "m_tot_mub_per_cell": 0.0, "formation_enthalpy_0k_kj_per_mol_atoms": 61.5}

{"formula": "Ac2PuTc2N6", "functional": "PBE", "state": "relaxed", "cell": [[-5.818, -0.350, 0.738], [-3.297, -2.836, -3.951], [-2.329, -6.250, 2.061]], "species": ["Ac", "Ac", "Tc", "Tc", "Pu", "N", "N", "N", "N", "N", "N"], "frac_coords": [[0.788, 0.788, 0.635], [0.212, 0.212, 0.365], [0.399, 0.399, 0.804], [0.601, 0.601, 0.196], [0.000, 0.000, 0.000], [0.747, 0.231, 0.276], [0.231, 0.747, 0.276], [0.769, 0.253, 0.724], [0.253, 0.769, 0.724], [0.747, 0.747, 0.276], [0.253, 0.253, 0.724]], "e_tot_ev_per_atom": -9.14, "space_group": "R-3m", "formation_energy_uncorrected_ev_per_atom": -0.67, "mass_density_g_cm3": 8.90, "m_tot_mub_per_cell": 5.4}

{"formula": "V2CuW", "functional": "PBE", "state": "relaxed", "cell": [[-4.719, -4.759, -1.167], [3.509, -4.414, 3.806], [-1.890, -3.820, 3.392]], "species": ["V", "V", "V", "V", "Cu", "Cu", "W", "W"], "frac_coords": [[0.614, 0.125, 0.250], [0.136, 0.625, 0.250], [0.875, 0.864, 0.750], [0.375, 0.386, 0.750], [0.250, 0.750, 0.500], [0.500, 0.500, 0.000], [0.750, 0.250, 0.500], [0.000, 0.000, 0.000]], "e_tot_ev_per_atom": -8.14, "de_polymorph_mev_per_atom": 594, "space_group": "I-42d", "mass_density_g_cm3": 9.80, "m_tot_mub_per_cell": 0.0, "formation_enthalpy_0k_kj_per_mol_atoms": 65.4}

{"formula": "LaCuTeS", "functional": "PBE", "state": "relaxed", "cell": [[4.580, 0.000, 0.000], [2.290, 3.966, 0.000], [2.290, 1.322, 11.484]], "species": ["La", "La", "S", "S", "Cu", "Cu", "Te", "Te"], "frac_coords": [[0.889, 0.889, 0.333], [0.111, 0.111, 0.667], [0.197, 0.197, 0.409], [0.803, 0.803, 0.591], [0.301, 0.301, 0.098], [0.699, 0.699, 0.902], [0.381, 0.381, 0.857], [0.619, 0.619, 0.143]], "e_tot_ev_per_atom": -5.30, "space_group": "R-3m", "formation_energy_uncorrected_ev_per_atom": -1.23, "mass_density_g_cm3": 5.76, "m_tot_mub_per_cell": 0.0}

{"formula": "BePdN2", "functional": "PBE", "state": "relaxed", "cell": [[-0.671, -3.184, -3.010], [-2.423, -2.267, 2.938], [-4.887, -0.814, -1.314]], "species": ["N", "N", "N", "N", "Pd", "Pd", "Be", "Be"], "frac_coords": [[0.185, 0.625, 0.250], [0.565, 0.125, 0.250], [0.875, 0.815, 0.750], [0.375, 0.435, 0.750], [0.750, 0.250, 0.500], [0.000, 0.000, 0.000], [0.500, 0.500, 0.000], [0.250, 0.750, 0.500]], "e_tot_ev_per_atom": -6.04, "space_group": "I-42d", "formation_energy_uncorrected_ev_per_atom": 0.35, "mass_density_g_cm3": 5.98, "m_tot_mub_per_cell": 0.0}

Copy entry 7 word for word.
{"formula": "BePdN2", "functional": "PBE", "state": "relaxed", "cell": [[-0.671, -3.184, -3.010], [-2.423, -2.267, 2.938], [-4.887, -0.814, -1.314]], "species": ["N", "N", "N", "N", "Pd", "Pd", "Be", "Be"], "frac_coords": [[0.185, 0.625, 0.250], [0.565, 0.125, 0.250], [0.875, 0.815, 0.750], [0.375, 0.435, 0.750], [0.750, 0.250, 0.500], [0.000, 0.000, 0.000], [0.500, 0.500, 0.000], [0.250, 0.750, 0.500]], "e_tot_ev_per_atom": -6.04, "space_group": "I-42d", "formation_energy_uncorrected_ev_per_atom": 0.35, "mass_density_g_cm3": 5.98, "m_tot_mub_per_cell": 0.0}